# Li4CaLa

Li4CaLa at its PBEsol-relaxed geometry (SCAN, Alexandria).

Calculated values
**Calculated volume**: 26.0 A^3/atom
**DFT total energy**: -62.0 eV for the cell shown
**Energy of formation**: 0.051 eV/atom

abc: 6.0421 6.0421 6.0421
angles: 60.00 60.00 60.00
Site moments in Bohr magnetons follow the coordinates.
Fractional coordinates of all 6 atoms:
Ca1 0.7500 0.7500 0.7500  0.05
La1 0.0000 0.0000 0.0000  0.22
Li1 0.3754 0.3754 0.3754  0.00
Li2 0.3754 0.3754 0.8737  0.00
Li3 0.8737 0.3754 0.3754  0.00
Li4 0.3754 0.8737 0.3754  0.00